# Eu3Pd5Cl12

Crystalline Eu3Pd5Cl12 at its relaxed geometry (GGA-PBE, the Alexandria database).

Values from the calculation:
D(E_F)   206.75 states/eV per cell

Lattice parameters (Å, degrees): 13.7014 13.7014 13.7014 109.47 109.47 109.47
Closest atoms and distances in Å follow each position.
Fractional coordinates of all 80 atoms:
1 Eu 0.1250 0.2500 0.3750  8 Cl 3.00-3.05
2 Eu 0.1250 0.3750 0.7500  8 Cl 3.00-3.05
3 Eu 0.2500 0.3750 0.1250  8 Cl 3.00-3.05
4 Eu 0.2500 0.8750 0.6250  8 Cl 3.00-3.05
5 Eu 0.3750 0.1250 0.2500  8 Cl 3.00-3.05
6 Eu 0.3750 0.7500 0.1250  8 Cl 3.00-3.05
7 Eu 0.6250 0.2500 0.8750  8 Cl 3.00-3.05
8 Eu 0.6250 0.8750 0.7500  8 Cl 3.00-3.05
9 Eu 0.7500 0.1250 0.3750  8 Cl 3.00-3.05
10 Eu 0.7500 0.6250 0.8750  8 Cl 3.00-3.05
11 Eu 0.8750 0.6250 0.2500  8 Cl 3.00-3.05
12 Eu 0.8750 0.7500 0.6250  8 Cl 3.00-3.05
13 Pd 0.0000 0.0000 0.0000  6 Cl 2.57
14 Pd 0.0000 0.0000 0.5000  6 Cl 2.57
15 Pd 0.0000 0.5000 0.0000  6 Cl 2.57
16 Pd 0.0000 0.5000 0.5000  6 Cl 2.57
17 Pd 0.1250 0.7500 0.8750  4 Cl 2.46
18 Pd 0.1250 0.8750 0.2500  4 Cl 2.46
19 Pd 0.2500 0.1250 0.8750  4 Cl 2.46
20 Pd 0.2500 0.6250 0.3750  4 Cl 2.46
21 Pd 0.3750 0.2500 0.6250  4 Cl 2.46
22 Pd 0.3750 0.6250 0.7500  4 Cl 2.46
23 Pd 0.5000 0.0000 0.0000  6 Cl 2.57
24 Pd 0.5000 0.0000 0.5000  6 Cl 2.57
25 Pd 0.5000 0.5000 0.0000  6 Cl 2.57
26 Pd 0.5000 0.5000 0.5000  6 Cl 2.57
27 Pd 0.6250 0.3750 0.2500  4 Cl 2.46
28 Pd 0.6250 0.7500 0.3750  4 Cl 2.46
29 Pd 0.7500 0.3750 0.6250  4 Cl 2.46
30 Pd 0.7500 0.8750 0.1250  4 Cl 2.46
31 Pd 0.8750 0.1250 0.7500  4 Cl 2.46
32 Pd 0.8750 0.2500 0.1250  4 Cl 2.46
33 Cl 0.0368 0.2092 0.1255  2 Pd 2.46-2.57
34 Cl 0.0368 0.3276 0.9112  2 Pd 2.46-2.57
35 Cl 0.0837 0.7092 0.6724  2 Pd 2.46-2.57
36 Cl 0.0837 0.8745 0.4112  2 Pd 2.46-2.57
37 Cl 0.0888 0.6255 0.4163  2 Pd 2.46-2.57
38 Cl 0.0888 0.9632 0.6724  2 Pd 2.46-2.57
39 Cl 0.1255 0.0368 0.2092  2 Pd 2.46-2.57
40 Cl 0.1255 0.5888 0.9163  2 Pd 2.46-2.57
41 Cl 0.1724 0.2092 0.5837  2 Pd 2.46-2.57
42 Cl 0.1724 0.4632 0.5888  2 Pd 2.46-2.57
43 Cl 0.2092 0.1255 0.0368  2 Pd 2.46-2.57
44 Cl 0.2092 0.5837 0.1724  2 Pd 2.46-2.57
45 Cl 0.2908 0.3276 0.9163  2 Pd 2.46-2.57
46 Cl 0.2908 0.4632 0.3745  2 Pd 2.46-2.57
47 Cl 0.3276 0.9112 0.0368  2 Pd 2.46-2.57
48 Cl 0.3276 0.9163 0.2908  2 Pd 2.46-2.57
49 Cl 0.3745 0.2908 0.4632  2 Pd 2.46-2.57
50 Cl 0.3745 0.5837 0.9112  2 Pd 2.46-2.57
51 Cl 0.4112 0.0837 0.8745  2 Pd 2.46-2.57
52 Cl 0.4112 0.8276 0.5368  2 Pd 2.46-2.57
53 Cl 0.4163 0.0888 0.6255  2 Pd 2.46-2.57
54 Cl 0.4163 0.8276 0.7908  2 Pd 2.46-2.57
55 Cl 0.4632 0.3745 0.2908  2 Pd 2.46-2.57
56 Cl 0.4632 0.5888 0.1724  2 Pd 2.46-2.57
57 Cl 0.5368 0.4112 0.8276  2 Pd 2.46-2.57
58 Cl 0.5368 0.6255 0.7092  2 Pd 2.46-2.57
59 Cl 0.5837 0.1724 0.2092  2 Pd 2.46-2.57
60 Cl 0.5837 0.9112 0.3745  2 Pd 2.46-2.57
61 Cl 0.5888 0.1724 0.4632  2 Pd 2.46-2.57
62 Cl 0.5888 0.9163 0.1255  2 Pd 2.46-2.57
63 Cl 0.6255 0.4163 0.0888  2 Pd 2.46-2.57
64 Cl 0.6255 0.7092 0.5368  2 Pd 2.46-2.57
65 Cl 0.6724 0.0837 0.7092  2 Pd 2.46-2.57
66 Cl 0.6724 0.0888 0.9632  2 Pd 2.46-2.57
67 Cl 0.7092 0.5368 0.6255  2 Pd 2.46-2.57
68 Cl 0.7092 0.6724 0.0837  2 Pd 2.46-2.57
69 Cl 0.7908 0.4163 0.8276  2 Pd 2.46-2.57
70 Cl 0.7908 0.8745 0.9632  2 Pd 2.46-2.57
71 Cl 0.8276 0.5368 0.4112  2 Pd 2.46-2.57
72 Cl 0.8276 0.7908 0.4163  2 Pd 2.46-2.57
73 Cl 0.8745 0.4112 0.0837  2 Pd 2.46-2.57
74 Cl 0.8745 0.9632 0.7908  2 Pd 2.46-2.57
75 Cl 0.9112 0.0368 0.3276  2 Pd 2.46-2.57
76 Cl 0.9112 0.3745 0.5837  2 Pd 2.46-2.57
77 Cl 0.9163 0.1255 0.5888  2 Pd 2.46-2.57
78 Cl 0.9163 0.2908 0.3276  2 Pd 2.46-2.57
79 Cl 0.9632 0.6724 0.0888  2 Pd 2.46-2.57
80 Cl 0.9632 0.7908 0.8745  2 Pd 2.46-2.57

=====

# PmEuCl2

Crystalline PmEuCl2 at its relaxed geometry (GGA-PBE, the Alexandria database).

Values from the calculation:
D(E_F)   2.76 states/eV per cell

Lattice parameters (Å, degrees): 10.0197 10.0197 10.0197 21.52 21.52 21.52
Closest atoms and distances in Å follow each position.
Fractional coordinates of all 4 atoms:
1 Pm 0.0000 0.0000 0.0000  6 Cl 2.93
2 Eu 0.5000 0.5000 0.5000  2 Cl 2.91
3 Cl 0.4010 0.4010 0.4010  1 Eu 2.91, 3 Pm 2.93
4 Cl 0.5990 0.5990 0.5990  1 Eu 2.91, 3 Pm 2.93

=====

# PrEu3Cl

Crystalline PrEu3Cl at its relaxed geometry (GGA-PBE, the Alexandria database).

Values from the calculation:
D(E_F)   6.93 states/eV per cell

Lattice parameters (Å, degrees): 5.7141 5.7141 5.7141 90.00 90.00 90.00
Closest atoms and distances in Å follow each position.
Fractional coordinates of all 5 atoms:
1 Pr 0.0000 0.0000 0.0000  12 Eu 4.04
2 Eu 0.0000 0.5000 0.5000  2 Cl 2.86
3 Eu 0.5000 0.0000 0.5000  2 Cl 2.86
4 Eu 0.5000 0.5000 0.0000  2 Cl 2.86
5 Cl 0.5000 0.5000 0.5000  6 Eu 2.86

=====

# Pr2EuCl

Crystalline Pr2EuCl at its relaxed geometry (GGA-PBE, the Alexandria database).

Values from the calculation:
D(E_F)   5.16 states/eV per cell

Lattice parameters (Å, degrees): 11.7342 11.7342 11.7342 17.71 17.71 17.71
Closest atoms and distances in Å follow each position.
Fractional coordinates of all 4 atoms:
1 Pr 0.1008 0.1008 0.1008  3 Cl 3.09
2 Pr 0.8992 0.8992 0.8992  3 Cl 3.09
3 Eu 0.0000 0.0000 0.0000  2 Pr 3.49, 6 Eu 3.61
4 Cl 0.5000 0.5000 0.5000  6 Pr 3.09

=====

# PrEuSbCl

Crystalline PrEuSbCl at its relaxed geometry (GGA-PBE, the Alexandria database).

Values from the calculation:
D(E_F)   1.50 states/eV per cell

Lattice parameters (Å, degrees): 5.4314 5.4314 5.4314 60.00 60.00 60.00
Closest atoms and distances in Å follow each position.
Fractional coordinates of all 4 atoms:
1 Pr 0.0000 0.0000 0.0000  4 Cl 3.33, 4 Sb 3.33
2 Eu 0.5000 0.5000 0.5000  4 Sb 3.33, 4 Cl 3.33
3 Sb 0.7500 0.7500 0.7500  4 Eu 3.33, 4 Pr 3.33
4 Cl 0.2500 0.2500 0.2500  4 Eu 3.33, 4 Pr 3.33

=====

# Eu2PtCl

Crystalline Eu2PtCl at its relaxed geometry (GGA-PBE, the Alexandria database).

Values from the calculation:
D(E_F)   19.78 states/eV per cell

Lattice parameters (Å, degrees): 7.8726 7.8726 7.8726 30.87 30.87 30.87
Closest atoms and distances in Å follow each position.
Fractional coordinates of all 4 atoms:
1 Eu 0.2406 0.2406 0.2406  3 Pt 2.93, 3 Cl 3.19
2 Eu 0.7594 0.7594 0.7594  3 Pt 2.93, 3 Cl 3.19
3 Pt 0.5000 0.5000 0.5000  6 Eu 2.93
4 Cl 0.0000 0.0000 0.0000  6 Eu 3.19

=====

# Eu2PtCl

Crystalline Eu2PtCl at its relaxed geometry (GGA-PBE, the Alexandria database).

Values from the calculation:
D(E_F)   10.67 states/eV per cell

Lattice parameters (Å, degrees): 3.5916 3.5916 7.8297 90.00 90.00 90.00
Closest atoms and distances in Å follow each position.
Fractional coordinates of all 4 atoms:
1 Eu 0.0000 0.0000 0.2247  4 Pt 3.09, 4 Cl 3.33
2 Eu 0.0000 0.0000 0.7753  4 Pt 3.09, 4 Cl 3.33
3 Pt 0.5000 0.5000 0.0000  8 Eu 3.09
4 Cl 0.5000 0.5000 0.5000  8 Eu 3.33, 4 Cl 3.59

=====

# EuPuCl2

Crystalline EuPuCl2 at its relaxed geometry (GGA-PBE, the Alexandria database).

Values from the calculation:
D(E_F)   5.68 states/eV per cell

Lattice parameters (Å, degrees): 9.8806 9.8806 9.8806 22.38 22.38 22.38
Closest atoms and distances in Å follow each position.
Fractional coordinates of all 4 atoms:
1 Eu 0.0000 0.0000 0.0000  2 Cl 2.92
2 Pu 0.5000 0.5000 0.5000  6 Cl 2.91
3 Cl 0.1011 0.1011 0.1011  3 Pu 2.91, 1 Eu 2.92
4 Cl 0.8989 0.8989 0.8989  3 Pu 2.91, 1 Eu 2.92

=====

Number 1: formation energy without anion corrections -1.07 eV per atom. Number 2: formation energy without anion corrections -1.43 eV per atom. Number 3: formation energy without anion corrections -0.52 eV per atom. Number 4: formation energy without anion corrections -0.51 eV per atom. Number 5: formation energy without anion corrections -1.28 eV per atom. Number 6: formation energy without anion corrections -1.37 eV per atom. Number 7: formation energy without anion corrections -1.30 eV per atom. Number 8: formation energy without anion corrections -1.27 eV per atom.